First-principles (GGA-PBE) data for a geometry-optimized ErCuSnTe2S structure, as listed in OQMD via LeMat-Bulk.

Summary:
- SG: Cmcm, No. 63
- Volume: 303.1 Å³ per cell
- Total energy: -4.55 eV/atom

Lattice parameters (Å, degrees): 7.426 7.426 10.233 90.00 90.00 147.50
Positions (direct):
1 Er 0.000 0.000 0.000
2 Er 0.000 0.000 0.500
3 Cu 0.483 0.517 0.750
4 Cu 0.517 0.483 0.250
5 Sn 0.274 0.726 0.250
6 Sn 0.726 0.274 0.750
7 Te 0.351 0.649 0.564
8 Te 0.351 0.649 0.936
9 Te 0.649 0.351 0.064
10 Te 0.649 0.351 0.436
11 S 0.068 0.932 0.750
12 S 0.932 0.068 0.250